(1)
Computed, not measured: a PBEsol-optimized structure of LiTiSi2 at the SCAN level of DFT.

a = 4.3109 Å, b = 4.3109 Å, c = 4.3109 Å
α = 60.00°, β = 60.00°, γ = 60.00°
Sites, in units of the cell vectors:
Ti (0.5000, 0.5000, 0.5000)
Si (0.7500, 0.7500, 0.7500)
Li (0.0000, 0.0000, 0.0000)
Si (0.2500, 0.2500, 0.2500)

electronic total energy	-0.3555	Ha/atom
calculated volume	14.16	Å³/atom
formation energy without anion corrections	-23	kJ/mol of formula units
DOS(E_F)	2.07	states/eV/cell
space group	Fm-3m

---

(2)
Computed, not measured: a PBEsol-optimized structure of Sc2TaPb at the SCAN level of DFT.

a = 3.0797 Å, b = 3.0797 Å, c = 9.2089 Å
α = 90.00°, β = 90.00°, γ = 90.00°
Sites, in units of the cell vectors:
Sc (0.0000, 0.0000, 0.9941)
Pb (0.5000, 0.5000, 0.7411)
Ta (0.0000, 0.0000, 0.4978)
Sc (0.5000, 0.5000, 0.2670)

electronic total energy	-1.5654	Ha/atom
calculated volume	21.83	Å³/atom
formation energy	113	meV/atom
DOS(E_F)	3.00	states/eV/cell
space group	P4mm

---

(3)
Computed, not measured: a PBEsol-optimized structure of PdRhBr3 at the SCAN level of DFT.

a = 4.9219 Å, b = 4.9219 Å, c = 4.9219 Å
α = 90.00°, β = 90.00°, γ = 90.00°
Sites, in units of the cell vectors:
Rh (0.0000, 0.0000, 0.0000)
Br (0.5000, 0.0000, 0.0000)
Pd (0.5000, 0.5000, 0.5000)
Br (0.0000, 0.5000, 0.0000)
Br (0.0000, 0.0000, 0.5000)

electronic total energy	-0.9060	Ha/atom
calculated volume	23.85	Å³/atom
formation energy without anion corrections	160	kJ/mol of formula units
DOS(E_F)	7.67	states/eV/cell
space group	Pm-3m

---

(4)
Computed, not measured: a PBEsol-optimized structure of MoP2WS at the SCAN level of DFT.

a = 4.5232 Å, b = 4.6710 Å, c = 4.6710 Å
α = 90.00°, β = 90.00°, γ = 90.00°
Sites, in units of the cell vectors:
Mo (0.5000, 0.5000, 0.5000)
W (0.0000, 0.0000, 0.0000)
P (0.0000, 0.5000, 0.0000)
P (0.0000, 0.0000, 0.5000)
S (0.5000, 0.0000, 0.0000)

electronic total energy	-0.9585	Ha/atom
calculated volume	19.74	Å³/atom
formation energy without anion corrections	442	kJ/mol of formula units
DOS(E_F)	2.56	states/eV/cell
space group	P4/mmm

---

(5)
Computed, not measured: a PBEsol-optimized structure of LiYTaHg2 at the SCAN level of DFT.

a = 4.7615 Å, b = 5.1903 Å, c = 5.1903 Å
α = 90.00°, β = 90.00°, γ = 90.00°
Sites, in units of the cell vectors:
Y (0.5000, 0.5000, 0.5000)
Hg (0.0000, 0.0000, 0.5000)
Hg (0.0000, 0.5000, 0.0000)
Li (0.5000, 0.0000, 0.0000)
Ta (0.0000, 0.0000, 0.0000)

electronic total energy	-1.6920	Ha/atom
calculated volume	25.65	Å³/atom
formation energy	587	meV/atom
DOS(E_F)	3.86	states/eV/cell
space group	P4/mmm

---

(6)
Computed, not measured: a PBEsol-optimized structure of Y2MgCd at the SCAN level of DFT.

a = 3.4585 Å, b = 4.9241 Å, c = 6.3562 Å
α = 90.00°, β = 105.90°, γ = 90.00°
Sites, in units of the cell vectors:
Y (0.0432, 0.0000, 0.9610)
Mg (0.4407, 0.5000, 0.7563)
Cd (0.3077, 0.0000, 0.4901)
Y (0.7084, 0.5000, 0.2925)

electronic total energy	-0.8452	Ha/atom
calculated volume	26.03	Å³/atom
formation energy	-230	meV/atom
DOS(E_F)	3.91	states/eV/cell
space group	Pm

---

(7)
Computed, not measured: a PBEsol-optimized structure of Zn2Ga2I at the SCAN level of DFT.

a = 4.3831 Å, b = 4.3831 Å, c = 6.3333 Å
α = 110.25°, β = 110.25°, γ = 90.00°
Sites, in units of the cell vectors:
Zn (0.6115, 0.6115, 0.2230)
I (0.0000, 0.0000, 0.0000)
Zn (0.3885, 0.3885, 0.7770)
Ga (0.2500, 0.7500, 0.5000)
Ga (0.7500, 0.2500, 0.5000)

electronic total energy	-0.7015	Ha/atom
calculated volume	21.22	Å³/atom
formation energy without anion corrections	99	kJ/mol of formula units
DOS(E_F)	2.23	states/eV/cell
space group	I4/mmm

---

(8)
Computed, not measured: a PBEsol-optimized structure of NbCrO4 at the SCAN level of DFT.

a = 4.5053 Å, b = 4.8924 Å, c = 11.5126 Å
α = 90.00°, β = 90.00°, γ = 90.00°
Sites, in units of the cell vectors:
O (0.2304, 0.4200, 0.6894)
Cr (0.0000, 0.2500, 0.5657)
Nb (0.5000, 0.2500, 0.3290)
O (0.7638, 0.5803, 0.5587)
O (0.2696, 0.4200, 0.1894)
O (0.2638, 0.4197, 0.9413)
O (0.2638, 0.9197, 0.0587)
Nb (0.0000, 0.7500, 0.1710)
Cr (0.5000, 0.7500, 0.9343)
O (0.7638, 0.0803, 0.4413)
O (0.2362, 0.9197, 0.5587)
Cr (0.0000, 0.7500, 0.4343)
O (0.2362, 0.4197, 0.4413)
O (0.7304, 0.0800, 0.1894)
Cr (0.5000, 0.2500, 0.0657)
O (0.7696, 0.0800, 0.6894)
O (0.7362, 0.5803, 0.0587)
Nb (0.5000, 0.7500, 0.6710)
Nb (0.0000, 0.2500, 0.8290)
O (0.7304, 0.5800, 0.8106)
O (0.2304, 0.9200, 0.3106)
O (0.2696, 0.9200, 0.8106)
O (0.7696, 0.5800, 0.3106)
O (0.7362, 0.0803, 0.9413)

electronic total energy	-0.5668	Ha/atom
calculated volume	10.57	Å³/atom
formation energy without anion corrections	-1553	kJ/mol of formula units
space group	Pbcn

---

(9)
Computed, not measured: a PBEsol-optimized structure of ErB3Mo at the SCAN level of DFT.

a = 3.1332 Å, b = 5.3749 Å, c = 6.7322 Å
α = 101.72°, β = 90.00°, γ = 90.00°
Sites, in units of the cell vectors:
B (0.7500, 0.4169, 0.4755)
B (0.2500, 0.9168, 0.0068)
Mo (0.7500, 0.6902, 0.7801)
Er (0.7500, 0.8226, 0.2907)
B (0.2500, 0.5869, 0.0043)
Er (0.2500, 0.1774, 0.7093)
B (0.2500, 0.5831, 0.5245)
B (0.7500, 0.4131, 0.9957)
Mo (0.2500, 0.3098, 0.2199)
B (0.7500, 0.0832, 0.9932)

electronic total energy	-0.8151	Ha/atom
calculated volume	11.10	Å³/atom
formation energy	-677	meV/atom
DOS(E_F)	2.03	states/eV/cell
space group	P2_1/m

---

(10)
Computed, not measured: a PBEsol-optimized structure of CaTe2Se at the SCAN level of DFT.

a = 4.5794 Å, b = 4.5794 Å, c = 7.0422 Å
α = 71.03°, β = 71.03°, γ = 60.00°
Sites, in units of the cell vectors:
Se (0.5000, 0.5000, 0.5000)
Ca (0.0000, 0.0000, 0.0000)
Te (0.7554, 0.7554, 0.7337)
Te (0.2446, 0.2446, 0.2663)

electronic total energy	-0.9710	Ha/atom
calculated volume	29.64	Å³/atom
formation energy without anion corrections	-139	kJ/mol of formula units
DOS(E_F)	4.57	states/eV/cell
space group	R-3m

---

(11)
Computed, not measured: a PBEsol-optimized structure of K2LiY at the SCAN level of DFT.

a = 3.6328 Å, b = 6.1662 Å, c = 7.8425 Å
α = 113.15°, β = 103.39°, γ = 90.00°
Sites, in units of the cell vectors:
K (0.2931, 0.2931, 0.5861)
Y (0.5000, 0.0000, 0.0000)
Li (0.0000, 0.5000, 0.0000)
K (0.7069, 0.7069, 0.4139)

electronic total energy	-0.4155	Ha/atom
calculated volume	39.08	Å³/atom
formation energy	416	meV/atom
DOS(E_F)	3.65	states/eV/cell
space group	Immm

---

(12)
Computed, not measured: a PBEsol-optimized structure of LiLuPd2 at the SCAN level of DFT.

a = 4.5423 Å, b = 4.5423 Å, c = 4.5423 Å
α = 60.00°, β = 60.00°, γ = 60.00°
Sites, in units of the cell vectors:
Li (0.5000, 0.5000, 0.5000)
Pd (0.7500, 0.7500, 0.7500)
Pd (0.2500, 0.2500, 0.2500)
Lu (0.0000, 0.0000, 0.0000)

electronic total energy	-1.1622	Ha/atom
calculated volume	16.57	Å³/atom
formation energy	-805	meV/atom
DOS(E_F)	1.24	states/eV/cell
space group	Fm-3m

---

(13)
Computed, not measured: a PBEsol-optimized structure of Sc2Se at the SCAN level of DFT.

a = 3.5765 Å, b = 5.3640 Å, c = 7.0097 Å
α = 90.00°, β = 104.78°, γ = 90.00°
Sites, in units of the cell vectors:
Sc (0.9468, 0.7500, 0.8935)
Sc (0.6542, 0.7500, 0.3085)
Sc (0.3458, 0.2500, 0.6915)
Se (0.3031, 0.7500, 0.6063)
Sc (0.0532, 0.2500, 0.1065)
Se (0.6969, 0.2500, 0.3937)

electronic total energy	-0.6369	Ha/atom
calculated volume	21.67	Å³/atom
formation energy without anion corrections	-332	kJ/mol of formula units
DOS(E_F)	4.97	states/eV/cell
space group	Cmcm

---

(14)
Computed, not measured: a PBEsol-optimized structure of SrIn2Pd at the SCAN level of DFT.

a = 4.5082 Å, b = 5.8138 Å, c = 7.8528 Å
α = 90.00°, β = 90.00°, γ = 112.81°
Sites, in units of the cell vectors:
In (0.8495, 0.6989, 0.9455)
In (0.1505, 0.3011, 0.0545)
Sr (0.5617, 0.1234, 0.7500)
In (0.8495, 0.6989, 0.5545)
Pd (0.7192, 0.4383, 0.2500)
Pd (0.2808, 0.5617, 0.7500)
Sr (0.4383, 0.8766, 0.2500)
In (0.1505, 0.3011, 0.4455)

electronic total energy	-1.1452	Ha/atom
calculated volume	23.72	Å³/atom
formation energy	-706	meV/atom
DOS(E_F)	2.76	states/eV/cell
space group	Cmcm

---

(15)
Computed, not measured: a PBEsol-optimized structure of CaSn2HS at the SCAN level of DFT.

a = 3.7409 Å, b = 5.8335 Å, c = 5.8335 Å
α = 90.00°, β = 90.00°, γ = 90.00°
Sites, in units of the cell vectors:
H (0.5000, 0.0000, 0.0000)
Ca (0.0000, 0.0000, 0.0000)
Sn (0.0000, 0.5000, 0.0000)
Sn (0.0000, 0.0000, 0.5000)
S (0.5000, 0.5000, 0.5000)

electronic total energy	-0.6752	Ha/atom
calculated volume	25.46	Å³/atom
DOS(E_F)	3.71	states/eV/cell
space group	P4/mmm

---

(16)
Computed, not measured: a PBEsol-optimized structure of CaNi2WSe at the SCAN level of DFT.

a = 4.3953 Å, b = 4.3953 Å, c = 4.6727 Å
α = 90.00°, β = 90.00°, γ = 90.00°
Sites, in units of the cell vectors:
Ni (0.5000, 0.0000, 0.0000)
Se (0.0000, 0.0000, 0.0000)
Ca (0.5000, 0.5000, 0.5000)
Ni (0.0000, 0.5000, 0.0000)
W (0.0000, 0.0000, 0.5000)

electronic total energy	-0.9461	Ha/atom
calculated volume	18.05	Å³/atom
formation energy without anion corrections	294	kJ/mol of formula units
DOS(E_F)	2.93	states/eV/cell
space group	P4/mmm

---

(17)
Computed, not measured: a PBEsol-optimized structure of SrSbI3 at the SCAN level of DFT.

a = 6.0139 Å, b = 6.0139 Å, c = 6.0139 Å
α = 90.00°, β = 90.00°, γ = 90.00°
Sites, in units of the cell vectors:
I (0.5000, 0.0000, 0.0000)
I (0.0000, 0.0000, 0.5000)
I (0.0000, 0.5000, 0.0000)
Sr (0.5000, 0.5000, 0.5000)
Sb (0.0000, 0.0000, 0.0000)

electronic total energy	-1.2652	Ha/atom
calculated volume	43.50	Å³/atom
formation energy without anion corrections	-230	kJ/mol of formula units
DOS(E_F)	2.08	states/eV/cell
space group	Pm-3m

---

(18)
Computed, not measured: a PBEsol-optimized structure of FeSiP2 at the SCAN level of DFT.

a = 3.8834 Å, b = 4.0458 Å, c = 4.0357 Å
α = 90.00°, β = 90.00°, γ = 118.68°
Sites, in units of the cell vectors:
P (0.3607, 0.7214, 0.5000)
Si (0.5495, 0.0989, 0.0000)
Fe (0.7110, 0.4219, 0.5000)
P (0.8746, 0.7493, 0.0000)

electronic total energy	-0.4480	Ha/atom
calculated volume	13.91	Å³/atom
formation energy without anion corrections	17	kJ/mol of formula units
DOS(E_F)	1.17	states/eV/cell
space group	Amm2

---

(19)
Computed, not measured: a PBEsol-optimized structure of Mg2CuNi2 at the SCAN level of DFT.

a = 3.8610 Å, b = 6.0265 Å, c = 6.0265 Å
α = 90.00°, β = 90.00°, γ = 90.00°
Sites, in units of the cell vectors:
Cu (0.0000, 0.0000, 0.0000)
Ni (0.0000, 0.3686, 0.8686)
Mg (0.5000, 0.3267, 0.1733)
Ni (0.0000, 0.8686, 0.6314)
Ni (0.0000, 0.1314, 0.3686)
Mg (0.5000, 0.6733, 0.8267)
Cu (0.0000, 0.5000, 0.5000)
Mg (0.5000, 0.1733, 0.6733)
Mg (0.5000, 0.8267, 0.3267)
Ni (0.0000, 0.6314, 0.1314)

electronic total energy	-0.4261	Ha/atom
calculated volume	14.02	Å³/atom
formation energy	-97	meV/atom
DOS(E_F)	2.16	states/eV/cell
space group	P4/mbm

---

(20)
Computed, not measured: a PBEsol-optimized structure of TaPRh at the SCAN level of DFT.

a = 4.1666 Å, b = 4.1666 Å, c = 4.1666 Å
α = 60.00°, β = 60.00°, γ = 60.00°
Sites, in units of the cell vectors:
P (0.0000, 0.0000, 0.0000)
Ta (0.2500, 0.2500, 0.2500)
Rh (0.5000, 0.5000, 0.5000)

electronic total energy	-1.3654	Ha/atom
calculated volume	17.05	Å³/atom
formation energy	-237	meV/atom
DOS(E_F)	1.55	states/eV/cell
space group	F-43m